[1]
Entry from the Alexandria database: a geometry-optimized LiTbEuMg structure (GGA-PBE).

Results
formation energy from the elements	48.0	meV per atom
calculated volume	117.11	Å³/f.u.
DOS at the Fermi energy	26.065	states/eV per cell

abc: 7.766 7.766 7.766
angles: 90.00 90.00 90.00
Space group F-43m (No. 216)
Asymmetric unit:
Li1 0.000 0.000 0.000 [4 per cell]
Tb1 0.250 0.250 0.750 [4 per cell]
Eu1 0.250 0.250 0.250 [4 per cell]
Mg1 0.000 0.000 0.500 [4 per cell]

***

[2]
Entry from the Alexandria database: a geometry-optimized DyNiSn structure (GGA-PBE).

Results
formation energy from the elements	-674.7	meV per atom
calculated volume	61.40	Å³/f.u.
DOS at the Fermi energy	7.310	states/eV per cell

abc: 7.152 4.470 7.683
angles: 90.00 90.00 90.00
Space group Pnma (No. 62)
Asymmetric unit:
Dy1 0.015 0.250 0.199 [4 per cell]
Ni1 0.203 0.750 0.413 [4 per cell]
Sn1 0.186 0.250 0.586 [4 per cell]

***

[3]
Entry from the Alexandria database: a geometry-optimized Pm5Te5Pb structure (GGA-PBE).

Results
calculated volume	379.90	Å³/f.u.
DOS at the Fermi energy	5.003	states/eV per cell
ΔE_f (raw)	-1.31	eV/atom

abc: 14.138 6.337 8.932
angles: 90.00 108.30 90.00
Space group C2/m (No. 12)
Asymmetric unit:
Pm1 0.000 0.000 0.000 [2 per cell]
Pm2 0.164 0.500 0.334 [4 per cell]
Pm3 0.164 0.500 0.829 [4 per cell]
Te1 0.000 0.500 0.500 [2 per cell]
Te2 0.164 0.000 0.337 [4 per cell]
Te3 0.166 0.000 0.831 [4 per cell]
Pb1 0.000 0.500 0.000 [2 per cell]

***

[4]
Entry from the Alexandria database: a geometry-optimized LaNd12Hg6 structure (GGA-PBE).

Results
formation energy from the elements	-200.9	meV per atom
calculated volume	583.96	Å³/f.u.
DOS at the Fermi energy	64.993	states/eV per cell

abc: 11.6125 11.6125 15.0009
angles: 90.00 90.00 120.00
Space group R-3 (No. 148, hexagonal axes)
Asymmetric unit:
La1 0.0000 0.0000 0.0000 [3 per cell]
Nd1 0.0551 0.8329 0.4113 [18 per cell]
Nd2 0.0810 0.1926 0.7952 [18 per cell]
Hg1 0.0285 0.4360 0.7177 [18 per cell]

***

[5]
Entry from the Alexandria database: a geometry-optimized NaSr2Hg6 structure (GGA-PBE).

Results
formation energy from the elements	-390.9	meV per atom
calculated volume	257.39	Å³/f.u.
DOS at the Fermi energy	4.422	states/eV per cell

abc: 8.8679 8.8679 3.7793
angles: 90.00 90.00 120.00
Space group P6/mmm (No. 191)
Asymmetric unit:
Na1 0.0000 0.0000 0.0000 [1 per cell]
Sr1 0.3333 0.6667 0.0000 [2 per cell]
Hg1 0.0000 0.3293 0.5000 [6 per cell]

***

[6]
Entry from the Alexandria database: a geometry-optimized Tc2BIrW structure (GGA-PBE).

Results
formation energy from the elements	1812.8	meV per atom
calculated volume	86.73	Å³/f.u.
DOS at the Fermi energy	8.286	states/eV per cell

abc: 4.770 4.770 3.812
angles: 90.00 90.00 90.00
Space group P4/mmm (No. 123)
Asymmetric unit:
Tc1 0.000 0.500 0.000 [2 per cell]
B1 0.000 0.000 0.500 [1 per cell]
Ir1 0.000 0.000 0.000 [1 per cell]
W1 0.500 0.500 0.500 [1 per cell]

***

[7]
Entry from the Alexandria database: a geometry-optimized TbLu2Ag structure (GGA-PBE).

Results
formation energy from the elements	11.9	meV per atom
calculated volume	105.37	Å³/f.u.
DOS at the Fermi energy	5.705	states/eV per cell

abc: 4.702 4.702 4.765
angles: 90.00 90.00 90.00
Space group P4/mmm (No. 123)
Asymmetric unit:
Tb1 0.000 0.000 0.000 [1 per cell]
Lu1 0.000 0.500 0.500 [2 per cell]
Ag1 0.500 0.500 0.000 [1 per cell]

***

[8]
Entry from the Alexandria database: a geometry-optimized ThMgIrPt structure (GGA-PBE).

Results
formation energy from the elements	-769.7	meV per atom
calculated volume	81.27	Å³/f.u.
DOS at the Fermi energy	7.867	states/eV per cell

abc: 6.876 6.876 6.876
angles: 90.00 90.00 90.00
Space group F-43m (No. 216)
Asymmetric unit:
Th1 0.000 0.000 0.000 [4 per cell]
Mg1 0.000 0.000 0.500 [4 per cell]
Ir1 0.250 0.250 0.250 [4 per cell]
Pt1 0.250 0.250 0.750 [4 per cell]

***

Ordered total magnetization results: 1.87; 0.00; 0.00; 0.00; 0.00; 0.00; 0.00; 0.00; unit μB/atom.